Ca2MnTc, relaxed, DFT GGA-PBEsol; space group = P4/mmm; energy relative to the elements = 80.69 kJ per mole of atoms
1.0
4.223 0.000 0.000
0.000 4.217 0.000
0.000 0.000 4.535
Ca Mn Tc
2 1 1
direct
0.000 0.000 0.000
0.500 0.500 0.000
0.500 0.000 0.500
0.000 0.500 0.500



CaMnTe, relaxed, DFT GGA-PBEsol; space group = I4mm; uncorrected formation energy = -31 kJ/mol of formula units
1.0
3.709 0.000 0.000
0.000 3.709 0.000
-1.855 -1.855 5.287
Ca Te Mn
1 1 1
direct
0.000 0.000 0.000
0.694 0.694 0.387
0.307 0.307 0.613



Ca2MnTe, relaxed, DFT GGA-PBEsol; space group = Amm2; uncorrected formation energy = -145 kJ/mol of formula units
1.0
-2.330 3.334 1.491
-3.156 -2.642 0.976
3.869 0.547 4.824
Ca Te Mn
2 1 1
direct
0.000 0.101 0.201
0.500 0.396 0.791
0.500 0.681 0.361
0.000 0.826 0.653



Ca2MnTe, relaxed, DFT GGA-PBEsol; space group = P4mm; uncorrected formation energy = -57 kJ/mol of formula units
1.0
4.178 0.000 0.000
0.000 4.178 0.000
0.000 0.000 6.345
Ca Te Mn
2 1 1
direct
0.000 0.000 0.959
0.500 0.500 0.297
0.500 0.500 0.783
0.000 0.000 0.461



Ca2MnTl, relaxed, DFT GGA-PBEsol; space group = P4/mmm; energy relative to the elements = 11.59 kJ per mole of atoms
1.0
3.773 0.000 0.000
0.000 3.773 0.000
0.000 0.000 7.292
Tl Mn Ca
1 1 2
direct
0.500 0.500 0.500
0.500 0.500 0.000
0.000 0.000 0.760
0.000 0.000 0.240



CaMn2Tl, relaxed, DFT GGA-PBEsol; space group = P4mm; energy relative to the elements = 27.74 kJ per mole of atoms; polymorph energy (0 for the lowest one) = 0 meV/atom
1.0
3.175 0.000 0.000
0.000 3.175 0.000
0.000 0.000 7.583
Ca Mn Tl
1 2 1
direct
0.000 0.000 0.774
0.500 0.500 0.078
0.000 0.000 0.193
0.500 0.500 0.456



Results for DFT total energy: -21.9; -15.7; -19.1; -18.1; -16.2; -23.1 (in eV/f.u., following the order of the records).